Record 1
# LaAl9Cu2 | the Alexandria database | PBE | relaxed
# **Density of states at the Fermi level**: 21.37 states/eV per cell
# **V**: 827 Å³ per cell
# **Spin magnetization**: 0.00 μB/cell
# **Energy of formation**: -0.214 eV/atom
data_LaAl9Cu2
_chemical_formula_sum 'La4 Al36 Cu8'
_space_group_name_H-M_alt 'I 41/a m d'
_space_group_IT_number 141
_cell_length_a 10.7664
_cell_length_b 10.7664
_cell_length_c 7.1350
_cell_angle_alpha 90.00
_cell_angle_beta 90.00
_cell_angle_gamma 90.00
loop_
_space_group_symop_operation_xyz
'x,y,z'
'-x,-y,-z'
'-y+1/4,x+3/4,z+1/4'
'y+1/4,-x+3/4,-z+1/4'
'-x+1/2,-y,z+1/2'
'x+1/2,y,-z+1/2'
'y+1/4,-x+1/4,z+3/4'
'-y+1/4,x+1/4,-z+3/4'
'x,-y,-z'
'-x,y,z'
'-y+1/4,-x+1/4,-z+3/4'
'y+1/4,x+1/4,z+3/4'
'-x+1/2,y,-z+1/2'
'x+1/2,-y,z+1/2'
'y+1/4,x+3/4,-z+1/4'
'-y+1/4,-x+3/4,z+1/4'
'x+1/2,y+1/2,z+1/2'
'-x+1/2,-y+1/2,-z+1/2'
'-y+3/4,x+1/4,z+3/4'
'y+3/4,-x+1/4,-z+3/4'
'-x,-y+1/2,z'
'x,y+1/2,-z'
'y+3/4,-x+3/4,z+1/4'
'-y+3/4,x+3/4,-z+1/4'
'x+1/2,-y+1/2,-z+1/2'
'-x+1/2,y+1/2,z+1/2'
'-y+3/4,-x+3/4,-z+1/4'
'y+3/4,x+3/4,z+1/4'
'-x,y+1/2,-z'
'x,-y+1/2,z'
'y+3/4,x+1/4,-z+3/4'
'-y+3/4,-x+1/4,z+3/4'
loop_
_atom_site_label
_atom_site_type_symbol
_atom_site_fract_x
_atom_site_fract_y
_atom_site_fract_z
La1 La 0.0000 0.2500 0.3750
Al1 Al 0.0000 0.2500 0.8750
Al2 Al 0.1235 0.0488 0.6843
Cu1 Cu 0.0000 0.0000 0.0000

***

Record 2
# Pr2DyHoSe5 | the Alexandria database | PBE | relaxed
# **Density of states at the Fermi level**: 6.87 states/eV per cell
# **V**: 280 Å³ per cell
# **Spin magnetization**: 0.00 μB/cell
# **Uncorrected formation energy**: -1.30 eV/atom
data_Pr2DyHoSe5
_chemical_formula_sum 'Pr2 Dy1 Ho1 Se5'
_space_group_name_H-M_alt 'P 4/m m m'
_space_group_IT_number 123
_space_group_name_Hall '-P 4 2'
_cell_length_a 5.1108
_cell_length_b 5.1108
_cell_length_c 10.7353
_cell_angle_alpha 90.00
_cell_angle_beta 90.00
_cell_angle_gamma 90.00
loop_
_atom_site_label
_atom_site_type_symbol
_atom_site_fract_x
_atom_site_fract_y
_atom_site_fract_z
Pr1 Pr 0.0000 0.0000 0.1943
Dy1 Dy 0.5000 0.5000 0.5000
Ho1 Ho 0.5000 0.5000 0.0000
Se1 Se 0.0000 0.0000 0.5000
Se2 Se 0.0000 0.5000 0.0000
Se3 Se 0.5000 0.5000 0.2546

***

Record 3
# PmSb2As | the Alexandria database | PBE | relaxed
# **Density of states at the Fermi level**: 7.88 states/eV per cell
# **V**: 328 Å³ per cell
# **Spin magnetization**: 0.00 μB/cell
# **Polymorph energy (0 for the lowest one)**: 254 meV per atom
# **Uncorrected formation energy**: -0.23 eV/atom
data_PmSb2As
_chemical_formula_sum 'Pm3 Sb6 As3'
_space_group_name_H-M_alt 'R -3 m'
_space_group_IT_number 166
_space_group_name_Hall '-R 3 2"'
_cell_length_a 5.0825
_cell_length_b 5.0825
_cell_length_c 14.6822
_cell_angle_alpha 90.00
_cell_angle_beta 90.00
_cell_angle_gamma 120.00
loop_
_atom_site_label
_atom_site_type_symbol
_atom_site_fract_x
_atom_site_fract_y
_atom_site_fract_z
Pm1 Pm 0.0000 0.0000 0.0000
Sb1 Sb 0.0000 0.0000 0.2226
As1 As 0.0000 0.0000 0.5000